Density functional theory data (PBE) for Sm2Dy2Au3 after structural relaxation.

Cell lengths 7.820, 7.820, 7.820 Å; angles 109.47, 109.47, 109.47 degrees
Atoms (fractional coordinates):
Sm1 0.000 0.357 0.500
Sm2 0.143 0.143 0.143
Sm3 0.357 0.500 0.000
Sm4 0.500 0.000 0.357
Dy1 0.000 0.863 0.500
Dy2 0.500 0.000 0.863
Dy3 0.637 0.637 0.637
Dy4 0.863 0.500 0.000
Au1 0.117 0.750 0.867
Au2 0.250 0.633 0.383
Au3 0.383 0.250 0.633
Au4 0.633 0.383 0.250
Au5 0.750 0.867 0.117
Au6 0.867 0.117 0.750

## Properties
magnetic moment	0.0	μB per cell
ΔE_f	-4.54	eV/f.u.